1.
First-principles (meta-GGA SCAN) data for a crystal of LaMoPb2 relaxed with PBEsol, as listed in Alexandria via LeMat-Bulk.

Unit cell a=3.2437 b=3.2437 c=10.3224 alpha=90.00 beta=90.00 gamma=110.70
Fractional positions:
La 0.0000 0.0000 0.0000
Mo 0.5000 0.5000 0.2050
Pb 0.0000 0.0000 0.4156
Pb 0.5000 0.5000 0.7118

Energy relative to the elements in meV/atom: 380
Total magnetization in μB per formula unit: 0.0
Calculated volume in Å³/atom: 25.40

=====

2.
First-principles (meta-GGA SCAN) data for a crystal of CdTe2Ir relaxed with PBEsol, as listed in Alexandria via LeMat-Bulk.

Unit cell a=11.8084 b=11.8084 c=11.8084 alpha=14.77 beta=14.77 gamma=14.77
Fractional positions:
Cd 0.0000 0.0000 0.0000
Te 0.4274 0.4274 0.4274
Te 0.5726 0.5726 0.5726
Ir 0.5000 0.5000 0.5000

Formation energy (no corrections) in kJ per mole of atoms: 35.8
Total magnetization in μB per formula unit: 0.0
Calculated volume in Å³/atom: 23.28

=====

3.
First-principles (meta-GGA SCAN) data for a crystal of La4Co3O10 relaxed with PBEsol, as listed in Alexandria via LeMat-Bulk.

Unit cell a=13.9674 b=13.9674 c=13.9674 alpha=164.43 beta=164.43 gamma=22.09
Fractional positions:
La 0.0675 0.0675 0.0000
La 0.1979 0.1979 0.0000
La 0.8021 0.8021 0.0000
La 0.9325 0.9325 0.0000
Co 0.3592 0.3592 0.0000
Co 0.5000 0.5000 0.0000
Co 0.6408 0.6408 0.0000
O 0.0000 0.5000 0.5000
O 0.1391 0.6391 0.5000
O 0.2851 0.2851 0.0000
O 0.3609 0.8609 0.5000
O 0.4286 0.4286 0.0000
O 0.5000 0.0000 0.5000
O 0.5714 0.5714 0.0000
O 0.6391 0.1391 0.5000
O 0.7149 0.7149 0.0000
O 0.8609 0.3609 0.5000

Formation energy (no corrections) in kJ per mole of atoms: -270.6
Total magnetization in μB per formula unit: 1.0
Calculated volume in Å³/atom: 11.55